CuPbO2: optimized geometry, PBE.

Properties
**Formation energy from raw total energies**: -78.3 kJ per mole of atoms
**Total magnetization**: 0.00 μB per formula unit
**DFT total energy**: -41.9 eV for the cell shown

Cell: 4.927 5.429 5.725 Å, 118.31 115.49 89.99°
Fractional positions:
O 0.334 0.834 0.668
O 0.334 0.334 0.668
O 0.666 0.166 0.332
O 0.666 0.666 0.332
Cu 0.500 0.500 0.500
Cu 0.000 0.000 0.500
Pb 0.759 0.250 0.000
Pb 0.241 0.750 0.000